1.
VASP calculation (PBE) on crystalline Na2U2CrS6 at its relaxed geometry.

a b c (Å): 6.5500 11.1635 7.2228
angles (deg): 90.00 107.40 90.00
With the nearest neighbours (Å) after each atom.
Space group C2/m (No. 12)
Asymmetric unit:
Na: 0.0000 0.1697 0.0000  6 S 2.86-3.02
U: 0.0000 0.3350 0.5000  6 S 2.70-2.71
Cr: 0.0000 0.0000 0.5000  6 S 2.46-2.48
S: 0.2253 0.1539 0.7147  1 Cr 2.48, 2 U 2.70-2.71
S: 0.2280 0.0000 0.2844  1 Cr 2.46, 2 U 2.71

Computed properties:
magnetization	4.2	μB per cell

2.
VASP calculation (PBE) on crystalline NaVCrS3 at its relaxed geometry.

a b c (Å): 7.4801 3.3137 9.0466
angles (deg): 90.00 113.32 90.00
With the nearest neighbours (Å) after each atom.
Space group P2_1/m (No. 11)
Asymmetric unit:
Na: 0.2469 0.2500 0.2432  6 S 2.83-3.07
V: 0.4113 0.2500 0.8842  4 S 2.25-2.42
Cr: 0.1997 0.7500 0.6705  6 S 2.35-2.47, 2 V 2.56
S: 0.0456 0.7500 0.3793  3 Cr 2.38-2.42
S: 0.2423 0.7500 0.9556  3 V 2.33-2.42, 1 Cr 2.47
S: 0.4005 0.2500 0.6320  1 V 2.25, 2 Cr 2.35

Computed properties:
magnetization	0.0	μB per cell

3.
VASP calculation (PBE) on crystalline Na3V3CrS8 at its relaxed geometry.

a b c (Å): 7.0086 7.0086 20.0738
angles (deg): 90.00 90.00 120.00
With the nearest neighbours (Å) after each atom.
Space group R-3m (No. 166, hexagonal axes)
Asymmetric unit:
Na: 0.0000 0.5000 0.0000  6 S 2.83-2.85
V: 0.0000 0.5000 0.5000  6 S 2.42-2.44
Cr: 0.0000 0.0000 0.5000  6 S 2.43
S: 0.0000 0.0000 0.2347  3 V 2.44
S: 0.0006 0.5003 0.7669  2 V 2.42, 1 Cr 2.43

Computed properties:
magnetization	24.0	μB per cell

no.,ΔE_f (raw) (eV per formula unit)
1,-13.0
2,-5.0
3,-14.4